1.
A plane-wave DFT calculation with GGA-PBE was carried out for a relaxed CsLa2YRe crystal.

Results
- ΔH_f (0 K) (kJ/mol of formula units) = 615

a b c (Å): 6.152 6.152 5.064
angles (deg): 90.00 90.00 90.00
Space group P4/mmm (No. 123)
Inequivalent atoms, fractional coordinates:
Cs 0.000 0.000 0.000
La 0.000 0.500 0.500
Y 0.500 0.500 0.500
Re 0.500 0.500 0.000



2.
A plane-wave DFT calculation with GGA-PBE was carried out for a relaxed AcHoRh crystal.

Results
- E above lowest polymorph (eV per atom) = 0.067
- ΔH_f (0 K) (kJ/mol of formula units) = -147

a b c (Å): 4.1939 4.1939 6.3993
angles (deg): 90.00 90.00 120.00
Space group P3m1 (No. 156)
Inequivalent atoms, fractional coordinates:
Ac 0.0000 0.0000 0.0000
Ho 0.6667 0.3333 0.5262
Rh 0.3333 0.6667 0.7345



3.
A plane-wave DFT calculation with GGA-PBE was carried out for a relaxed PuNi4Sb2 crystal.

a b c (Å): 7.573 7.573 4.058
angles (deg): 90.00 90.00 90.00
Space group P4_2/mnm (No. 136)
Inequivalent atoms, fractional coordinates:
Pu 0.000 0.000 0.000
Ni 0.093 0.363 0.500
Sb 0.217 0.783 0.500



4.
A plane-wave DFT calculation with GGA-PBE was carried out for a relaxed Li2Er2PaTe6 crystal.

a b c (Å): 7.507 12.945 7.518
angles (deg): 90.00 109.43 90.00
Space group C2/m (No. 12)
Inequivalent atoms, fractional coordinates:
Li 0.000 0.167 0.000
Er 0.000 0.334 0.500
Pa 0.000 0.000 0.500
Te 0.249 0.000 0.247
Te 0.249 0.333 0.247



5.
A plane-wave DFT calculation with GGA-PBE was carried out for a relaxed BaIn3Pb3 crystal.

Results
- E above lowest polymorph (eV per atom) = 0.229
- ΔH_f (0 K) (kJ/mol of formula units) = 35

a b c (Å): 8.294 8.294 8.294
angles (deg): 90.00 90.00 90.00
Space group Pm-3n (No. 223)
Inequivalent atoms, fractional coordinates:
Ba 0.000 0.000 0.000
In 0.000 0.250 0.500
Pb 0.000 0.500 0.250



6.
A plane-wave DFT calculation with GGA-PBE was carried out for a relaxed Ti3SiSe crystal.

Results
- E above lowest polymorph (eV per atom) = 0.000

a b c (Å): 4.620 4.620 4.620
angles (deg): 90.00 90.00 90.00
Space group Pm-3m (No. 221)
Inequivalent atoms, fractional coordinates:
Ti 0.000 0.000 0.500
Si 0.500 0.500 0.500
Se 0.000 0.000 0.000



7.
A plane-wave DFT calculation with GGA-PBE was carried out for a relaxed Mn2ReTc crystal.

Results
- ΔH_f (0 K) (kJ/mol of formula units) = 43

a b c (Å): 3.156 4.168 8.187
angles (deg): 90.00 90.00 90.00
Space group Cmmm (No. 65)
Inequivalent atoms, fractional coordinates:
Mn 0.000 0.000 0.249
Re 0.000 0.500 0.500
Tc 0.000 0.500 0.000



8.
A plane-wave DFT calculation with GGA-PBE was carried out for a relaxed NaAc3Tc crystal.

Results
- E above lowest polymorph (eV per atom) = 0.000
- ΔH_f (0 K) (kJ/mol of formula units) = 52

a b c (Å): 5.814 5.814 5.814
angles (deg): 90.00 90.00 90.00
Space group Pm-3m (No. 221)
Inequivalent atoms, fractional coordinates:
Na 0.000 0.000 0.000
Ac 0.000 0.500 0.500
Tc 0.500 0.500 0.500



9.
A plane-wave DFT calculation with GGA-PBE was carried out for a relaxed Tl2CrTc crystal.

Results
- E above lowest polymorph (eV per atom) = 0.331
- ΔH_f (0 K) (kJ/mol of formula units) = 289

a b c (Å): 6.709 6.709 6.709
angles (deg): 90.00 90.00 90.00
Space group Fm-3m (No. 225)
Inequivalent atoms, fractional coordinates:
Tl 0.250 0.250 0.250
Cr 0.000 0.000 0.000
Tc 0.000 0.000 0.500



10.
A plane-wave DFT calculation with GGA-PBE was carried out for a relaxed LaCeF6 crystal.

a b c (Å): 7.385 3.892 8.004
angles (deg): 90.00 90.00 90.00
Space group Amm2 (No. 38)
Inequivalent atoms, fractional coordinates:
La 0.000 0.000 0.000
Ce 0.500 0.000 0.472
F 0.000 0.000 0.695
F 0.180 0.000 0.396
F 0.323 0.000 0.074
F 0.500 0.000 0.776



11.
A plane-wave DFT calculation with GGA-PBE was carried out for a relaxed CaCoCl crystal.

a b c (Å): 10.360 3.820 7.795
angles (deg): 90.00 114.50 90.00
Space group Cm (No. 8)
Inequivalent atoms, fractional coordinates:
Ca 0.000 0.000 0.000
Ca 0.169 0.000 0.622
Co 0.371 0.500 0.568
Co 0.469 0.000 0.689
Cl 0.149 0.500 0.310
Cl 0.296 0.000 0.015



12.
A plane-wave DFT calculation with GGA-PBE was carried out for a relaxed ZrS2ClF crystal.

Results
- E above lowest polymorph (eV per atom) = 0.000

a b c (Å): 4.998 4.998 4.995
angles (deg): 90.00 90.00 90.00
Space group P4/mmm (No. 123)
Inequivalent atoms, fractional coordinates:
Zr 0.000 0.000 0.000
S 0.000 0.500 0.000
Cl 0.000 0.000 0.500
F 0.500 0.500 0.500



no.,magnetization (μB/f.u.),E_tot (eV per atom)
1,0.66,-4.65
2,0.00,-5.85
3,5.28,-6.80
4,1.00,-4.89
5,0.00,-2.99
6,0.00,-6.33
7,4.05,-10.18
8,0.00,-4.70
9,3.14,-5.43
10,1.00,-6.83
11,1.16,-4.39
12,1.71,-4.81